A relaxed structure of Ba6Na23Zn. Source: Alexandria via LeMat-Bulk, functional PBE-GGA.

```
Ba6Na23Zn
1.0
-6.230 10.203 -1.811
-5.257 5.611 9.332
4.387 10.547 3.964
Ba Na Zn
6 23 1
Direct
0.698 0.698 0.302
0.302 0.302 0.698
0.698 0.302 0.302
0.302 0.698 0.698
0.698 0.302 0.698
0.302 0.698 0.302
0.645 0.118 0.118
0.355 0.882 0.882
0.118 0.118 0.645
0.118 0.118 0.118
0.882 0.882 0.355
0.882 0.882 0.882
0.118 0.645 0.118
0.882 0.355 0.882
0.500 0.500 0.000
0.000 0.000 0.500
0.500 0.000 0.000
0.000 0.500 0.500
0.500 0.000 0.500
0.000 0.500 0.000
0.016 0.328 0.328
0.984 0.672 0.672
0.328 0.328 0.016
0.328 0.328 0.328
0.672 0.672 0.984
0.672 0.672 0.672
0.328 0.016 0.328
0.672 0.984 0.672
0.000 0.000 0.000
0.500 0.500 0.500
```

## Properties
Total energy, eV per cell: -43.79

***

A relaxed structure of NiAgSb. Source: Alexandria via LeMat-Bulk, functional PBE-GGA.

```
NiAgSb
1.0
-2.204 2.415 -4.069
-4.701 -1.147 -1.958
2.413 0.932 4.534
Ag Ni Sb
1 1 1
Direct
0.994 0.994 0.000
0.311 0.311 0.000
0.695 0.695 0.000
```

## Properties
Total energy, eV per cell: -12.46
Uncorrected formation energy, eV per atom: 0.10

***

A relaxed structure of Dy3MgIr. Source: Alexandria via LeMat-Bulk, functional PBE-GGA.

```
Dy3MgIr
1.0
7.159 0.000 0.000
0.000 10.433 -0.116
0.000 -4.243 7.408
Dy Mg Ir
12 4 4
Direct
0.130 0.684 0.924
0.870 0.316 0.076
0.630 0.816 0.076
0.370 0.184 0.924
0.495 0.420 0.764
0.505 0.580 0.236
0.995 0.080 0.236
0.005 0.920 0.764
0.012 0.307 0.689
0.988 0.693 0.311
0.512 0.193 0.311
0.488 0.807 0.689
0.797 0.532 0.558
0.203 0.468 0.442
0.297 0.968 0.442
0.703 0.032 0.558
0.202 0.455 0.012
0.798 0.545 0.988
0.702 0.045 0.988
0.298 0.955 0.012
```

## Properties
Total energy, eV per cell: -105.15
Excess energy over the best structure of this formula in the dataset, meV per atom: 0.0

***

A relaxed structure of Mg2In2As. Source: Alexandria via LeMat-Bulk, functional PBE-GGA.

```
Mg2In2As
1.0
-0.502 -3.354 -6.137
0.657 -6.148 3.306
-4.951 -0.241 0.536
As Mg In
2 4 4
Direct
0.000 0.000 0.000
0.500 0.500 0.000
0.347 0.847 0.000
0.847 0.653 0.000
0.653 0.153 0.000
0.153 0.347 0.000
0.158 0.658 0.500
0.658 0.842 0.500
0.842 0.342 0.500
0.342 0.158 0.500
```

## Properties
Total energy, eV per cell: -27.46
Excess energy over the best structure of this formula in the dataset, meV per atom: 0.0